First-principles (GGA-PBE) data for an optimized crystal structure of CsBaGe2N, as listed in the Alexandria database.

Lattice parameters (Å, degrees): 5.7960 5.7960 6.6743 90.00 90.00 90.00
Space group P4/mmm (No. 123)
One atom of each set of equivalent atoms:
Cs  0.0000  0.0000  0.0000
Ba  0.0000  0.0000  0.5000
Ge  0.0000  0.5000  0.0000
N  0.5000  0.5000  0.5000

Results
volume = 224 Å³/cell
Fermi-level density of states = 0.85 states/eV per atom
energy relative to the elements, uncorrected = 1980 meV/atom
total magnetic moment = 0.54 μB per atom
final energy = -2.087 eV/atom